This record from Alexandria via LeMat-Bulk describes a geometry-optimized HoZrSc2P4 structure. The functional is GGA-PBE.

Values from the calculation:
M_tot ... 0.00 Bohr magnetons per cell
Formation enthalpy at 0 K ... -1.49 eV/atom

abc: 3.809 6.600 6.566
angles: 109.36 90.00 90.00
Atoms (fractional coordinates):
Ho (0.500, 0.500, 0.000)
P (0.500, 0.245, 0.255)
P (0.500, 0.755, 0.745)
P (0.000, 0.760, 0.260)
P (0.000, 0.240, 0.740)
Sc (0.500, 0.000, 0.500)
Sc (0.000, 0.500, 0.500)
Zr (0.000, 0.000, 0.000)


This record from Alexandria via LeMat-Bulk describes a geometry-optimized La3CdPd structure. The functional is GGA-PBE.

Values from the calculation:
M_tot ... 0.00 Bohr magnetons per cell
Formation enthalpy at 0 K ... -0.43 eV/atom
E above lowest polymorph ... 0 meV per atom

abc: 6.085 6.085 9.696
angles: 65.95 65.95 71.58
Atoms (fractional coordinates):
La (0.293, 0.293, 0.308)
La (0.089, 0.089, 0.709)
La (0.707, 0.707, 0.692)
La (0.911, 0.911, 0.291)
La (0.294, 0.294, 0.906)
La (0.706, 0.706, 0.094)
Cd (0.304, 0.696, 0.500)
Cd (0.696, 0.304, 0.500)
Pd (0.274, 0.726, 0.000)
Pd (0.726, 0.274, 0.000)


This record from Alexandria via LeMat-Bulk describes a geometry-optimized Li2BiRuCl structure. The functional is GGA-PBE.

Values from the calculation:
M_tot ... 0.47 Bohr magnetons per cell
Energy ... -18.1 eV for the cell shown

abc: 5.010 5.085 5.010
angles: 90.00 90.00 90.00
Site moments in Bohr magnetons follow the coordinates.
Atoms (fractional coordinates):
Bi (0.000, 0.500, 0.000)  -0.05
Li (0.000, 0.000, 0.500)  0.00
Li (0.500, 0.000, 0.000)  0.00
Cl (0.500, 0.500, 0.500)  -0.01
Ru (0.000, 0.000, 0.000)  0.49